(w)
Computed, not measured: crystalline SrMn3Te at its relaxed geometry at the PBE-GGA level of DFT.

* density of states at the Fermi level: 6.66 states/eV/f.u.
* magnetization: 2.3654 μB/atom
* calculated density: 4.45 g/cm³

abc: 5.2156 5.2156 5.2156
angles: 90.00 90.00 90.00
Closest atoms and distances in Å follow each position.
Space group Pm-3m (No. 221)
Unique sites:
Sr  0.0000  0.0000  0.0000 [1 per cell]  6 Mn 2.61
Mn  0.0000  0.0000  0.5000 [3 per cell]  2 Sr 2.61
Te  0.5000  0.5000  0.5000 [1 per cell]  12 Mn 3.69


(x)
Computed, not measured: crystalline SrMn3Te at its relaxed geometry at the PBE-GGA level of DFT.

* density of states at the Fermi level: 2.96 states/eV/f.u.
* magnetization: 1.8588 μB/atom
* calculated density: 5.05 g/cm³

abc: 5.0005 5.0005 5.0005
angles: 90.00 90.00 90.00
Closest atoms and distances in Å follow each position.
Space group Pm-3m (No. 221)
Unique sites:
Sr  0.0000  0.0000  0.0000 [1 per cell]  12 Mn 3.54
Mn  0.0000  0.5000  0.5000 [3 per cell]  2 Te 2.50
Te  0.5000  0.5000  0.5000 [1 per cell]  6 Mn 2.50


The structure with the greatest stability is (x).


(w)
Computed, not measured: crystalline Sr2MnTl2 at its relaxed geometry at the PBE-GGA level of DFT.

* density of states at the Fermi level: 8.12 states/eV/f.u.
* magnetization: 0.0072 μB/atom
* calculated density: 7.07 g/cm³

abc: 7.4927 7.4927 5.3483
angles: 90.00 90.00 90.00
Closest atoms and distances in Å follow each position.
Space group P4/mbm (No. 127)
Unique sites:
Sr  0.1732  0.3268  0.0000 [4 per cell]  6 Tl 3.26-3.62
Mn  0.0000  0.0000  0.5000 [2 per cell]  4 Tl 2.85
Tl  0.1514  0.6514  0.5000 [4 per cell]  2 Mn 2.85


(x)
Computed, not measured: crystalline Sr2MnTl2 at its relaxed geometry at the PBE-GGA level of DFT.

* density of states at the Fermi level: 4.05 states/eV/f.u.
* magnetization: 0.8997 μB/atom
* calculated density: 5.68 g/cm³

abc: 5.1830 5.1830 13.9170
angles: 90.00 90.00 90.00
Closest atoms and distances in Å follow each position.
Space group I4/mmm (No. 139)
Unique sites:
Sr  0.0000  0.5000  0.2500 [4 per cell]  4 Tl 3.33, 4 Sr 3.66
Mn  0.0000  0.0000  0.0000 [2 per cell]  8 Tl 3.92, 8 Sr 4.34
Tl  0.0000  0.0000  0.4006 [4 per cell]  1 Tl 2.77


The structure with the greatest stability is (w).


(w)
Computed, not measured: crystalline SrMn2W at its relaxed geometry at the PBE-GGA level of DFT.

* density of states at the Fermi level: 5.54 states/eV/f.u.
* magnetization: 1.2978 μB/atom
* calculated density: 8.81 g/cm³

abc: 7.0414 7.0612 2.8896
angles: 90.00 90.00 90.00
Closest atoms and distances in Å follow each position.
Space group Cmmm (No. 65)
Unique sites:
Sr  0.0000  0.0000  0.0000 [2 per cell]  8 Mn 2.88, 2 Sr 2.89
Mn  0.2500  0.2500  0.5000 [4 per cell]  4 W 2.88, 4 Sr 2.88, 2 Mn 2.89
W  0.0000  0.5000  0.0000 [2 per cell]  8 Mn 2.88, 2 W 2.89


(x)
Computed, not measured: crystalline SrMn2W at its relaxed geometry at the PBE-GGA level of DFT.

* density of states at the Fermi level: 4.36 states/eV/f.u.
* magnetization: 1.4051 μB/atom
* calculated density: 8.38 g/cm³

abc: 6.7110 6.7110 6.7110
angles: 90.00 90.00 90.00
Closest atoms and distances in Å follow each position.
Space group F-43m (No. 216)
Unique sites:
Sr  0.0000  0.0000  0.0000 [4 per cell]  4 Mn 2.91, 4 W 2.91
Mn  0.0000  0.0000  0.5000 [4 per cell]  4 Mn 2.91, 4 W 2.91
Mn  0.2500  0.2500  0.2500 [4 per cell]  4 Mn 2.91, 4 Sr 2.91
W  0.2500  0.2500  0.7500 [4 per cell]  4 Mn 2.91, 4 Sr 2.91


(y)
Computed, not measured: crystalline SrMn2W at its relaxed geometry at the PBE-GGA level of DFT.

* density of states at the Fermi level: 4.12 states/eV/f.u.
* magnetization: 0.4586 μB/atom
* calculated density: 8.29 g/cm³

abc: 2.9572 5.1494 10.0328
angles: 90.00 90.00 90.00
Closest atoms and distances in Å follow each position.
Space group Imm2 (No. 44)
Unique sites:
Sr  0.0000  0.0000  0.0000 [2 per cell]  2 Sr 2.96, 6 Mn 2.97-3.29, 4 W 3.30
Mn  0.0000  0.0000  0.5185 [2 per cell]  2 W 2.39
Mn  0.0000  0.5000  0.7954 [2 per cell]  4 Mn 2.68-2.96
W  0.0000  0.5000  0.2060 [2 per cell]  2 Mn 2.39


(z)
Computed, not measured: crystalline SrMn2W at its relaxed geometry at the PBE-GGA level of DFT.

* density of states at the Fermi level: 7.73 states/eV/f.u.
* magnetization: 0.0000 μB/atom
* calculated density: 9.71 g/cm³

abc: 6.3895 6.3895 6.3895
angles: 90.00 90.00 90.00
Closest atoms and distances in Å follow each position.
Space group Fm-3m (No. 225)
Unique sites:
Sr  0.0000  0.0000  0.0000 [4 per cell]  8 Mn 2.77
Mn  0.2500  0.2500  0.2500 [8 per cell]  4 W 2.77, 4 Sr 2.77
W  0.0000  0.0000  0.5000 [4 per cell]  8 Mn 2.77


The structure with the greatest stability is (y).


(w)
Computed, not measured: crystalline Sr2MnW at its relaxed geometry at the PBE-GGA level of DFT.

* density of states at the Fermi level: 4.52 states/eV/f.u.
* magnetization: 0.3234 μB/atom
* calculated density: 5.35 g/cm³

abc: 4.0898 4.0898 26.6169
angles: 90.00 90.00 120.00
Closest atoms and distances in Å follow each position.
Space group R3m (No. 160, hexagonal axes)
Unique sites:
Sr  0.0000  0.0000  0.0000 [3 per cell]  3 W 3.36, 3 Mn 3.36
Sr  0.0000  0.0000  0.1794 [3 per cell]  3 Mn 3.36, 3 W 3.36
Mn  0.0000  0.0000  0.7564 [3 per cell]  3 W 2.36
W  0.0000  0.0000  0.4229 [3 per cell]  3 Mn 2.36


(x)
Computed, not measured: crystalline Sr2MnW at its relaxed geometry at the PBE-GGA level of DFT.

* density of states at the Fermi level: 17.70 states/eV/f.u.
* magnetization: 0.0001 μB/atom
* calculated density: 6.91 g/cm³

abc: 7.3573 7.3573 7.3573
angles: 90.00 90.00 90.00
Closest atoms and distances in Å follow each position.
Space group Fm-3m (No. 225)
Unique sites:
Sr  0.2500  0.2500  0.2500 [8 per cell]  4 Mn 3.19, 4 W 3.19
Mn  0.0000  0.0000  0.0000 [4 per cell]  8 Sr 3.19
W  0.0000  0.0000  0.5000 [4 per cell]  8 Sr 3.19


(y)
Computed, not measured: crystalline Sr2MnW at its relaxed geometry at the PBE-GGA level of DFT.

* density of states at the Fermi level: 5.79 states/eV/f.u.
* magnetization: 0.9749 μB/atom
* calculated density: 6.80 g/cm³

abc: 3.2690 3.2690 32.7898
angles: 90.00 90.00 120.00
Closest atoms and distances in Å follow each position.
Space group R-3m (No. 166, hexagonal axes)
Unique sites:
Sr  0.0000  0.0000  0.2475 [6 per cell]  3 W 3.26, 6 Sr 3.27, 3 Mn 3.39
Mn  0.0000  0.0000  0.0000 [3 per cell]  6 Mn 3.27, 6 Sr 3.39
W  0.0000  0.0000  0.5000 [3 per cell]  6 Sr 3.26, 6 W 3.27


(z)
Computed, not measured: crystalline Sr2MnW at its relaxed geometry at the PBE-GGA level of DFT.

* density of states at the Fermi level: 4.03 states/eV/f.u.
* magnetization: 0.3495 μB/atom
* calculated density: 6.24 g/cm³

abc: 3.4098 3.4086 9.4790
angles: 90.00 90.19 90.00
Closest atoms and distances in Å follow each position.
Space group Pm (No. 6)
Unique sites:
Sr  0.0000  0.0000  0.0000 [1 per cell]  1 Mn 3.29, 4 Sr 3.41, 4 W 3.48
Sr  0.4931  0.5000  0.3972 [1 per cell]  1 W 3.20, 4 Sr 3.41, 4 Mn 3.42
Mn  0.9966  0.0000  0.6533 [1 per cell]  4 W 2.53
W  0.4975  0.5000  0.7351 [1 per cell]  4 Mn 2.53


The structure with the greatest stability is (w).